(1)
# PBE-GGA PrHoPu2Se4, relaxed
data_PrHoPu2Se4
_chemical_formula_sum 'Pr1 Ho1 Pu2 Se4'
_space_group_name_H-M_alt 'P 1 2/m 1'
_space_group_IT_number 10
_space_group_name_Hall '-P 2y'
_cell_length_a 7.1855
_cell_length_b 4.1382
_cell_length_c 7.2235
_cell_angle_alpha 90.00
_cell_angle_beta 109.27
_cell_angle_gamma 90.00
loop_
_atom_site_label
_atom_site_type_symbol
_atom_site_fract_x
_atom_site_fract_y
_atom_site_fract_z
_atom_site_occupancy
Pr1 Pr 0.0000 0.0000 0.0000 1
Ho1 Ho 0.5000 0.5000 0.0000 1
Pu1 Pu 0.0000 0.5000 0.5000 1
Pu2 Pu 0.5000 0.0000 0.5000 1
Se1 Se 0.2586 0.0000 0.7518 1
Se2 Se 0.2596 0.5000 0.2547 1
# Volume   25.35 A^3/atom
# Theoretical density   9.09 g/cm3
# Crystal system   monoclinic
# DFT total energy   -0.3001 hartree per atom

=====

(2)
# PBE-GGA Zr3CdO, relaxed
data_Zr3CdO
_chemical_formula_sum 'Zr6 Cd2 O2'
_space_group_name_H-M_alt 'P 4/m b m'
_space_group_IT_number 127
_space_group_name_Hall '-P 4 2ab'
_cell_length_a 6.2293
_cell_length_b 6.2293
_cell_length_c 4.7578
_cell_angle_alpha 90.00
_cell_angle_beta 90.00
_cell_angle_gamma 90.00
loop_
_atom_site_label
_atom_site_type_symbol
_atom_site_fract_x
_atom_site_fract_y
_atom_site_fract_z
_atom_site_occupancy
Zr1 Zr 0.0000 0.0000 0.0000 1
Zr2 Zr 0.2125 0.2875 0.5000 1
Cd1 Cd 0.0000 0.5000 0.0000 1
O1 O 0.0000 0.0000 0.5000 1
# Volume   18.46 A^3/atom
# Theoretical density   7.23 g/cm3
# Crystal system   tetragonal
# DFT total energy   -0.2707 hartree per atom

=====

(3)
# PBE-GGA Er12Bi3Rh5, relaxed
data_Er12Bi3Rh5
_chemical_formula_sum 'Er96 Bi24 Rh40'
_space_group_name_H-M_alt 'I a -3 d'
_space_group_IT_number 230
_space_group_name_Hall '-I 4bd 2c 3'
_cell_length_a 16.9715
_cell_length_b 16.9715
_cell_length_c 16.9715
_cell_angle_alpha 90.00
_cell_angle_beta 90.00
_cell_angle_gamma 90.00
loop_
_atom_site_label
_atom_site_type_symbol
_atom_site_fract_x
_atom_site_fract_y
_atom_site_fract_z
_atom_site_occupancy
Er1 Er 0.0307 0.0575 0.6446 1
Bi1 Bi 0.0000 0.2500 0.1250 1
Rh1 Rh 0.0000 0.0000 0.0000 1
Rh2 Rh 0.0000 0.2500 0.3750 1
# Volume   30.55 A^3/atom
# Theoretical density   8.56 g/cm3
# Crystal system   cubic
# Formation enthalpy at 0 K   -7.7 eV per formula unit
# DFT total energy   -0.2038 hartree per atom

=====

(4)
# PBE-GGA La2PrNb, relaxed
data_La2PrNb
_chemical_formula_sum 'La6 Pr3 Nb3'
_space_group_name_H-M_alt 'R -3 m'
_space_group_IT_number 166
_space_group_name_Hall '-R 3 2"'
_cell_length_a 3.5931
_cell_length_b 3.5931
_cell_length_c 33.0357
_cell_angle_alpha 90.00
_cell_angle_beta 90.00
_cell_angle_gamma 120.00
loop_
_atom_site_label
_atom_site_type_symbol
_atom_site_fract_x
_atom_site_fract_y
_atom_site_fract_z
_atom_site_occupancy
La1 La 0.0000 0.0000 0.2385 1
Pr1 Pr 0.0000 0.0000 0.0000 1
Nb1 Nb 0.0000 0.0000 0.5000 1
# Volume   30.78 A^3/atom
# Theoretical density   6.90 g/cm3
# Crystal system   trigonal
# Formation enthalpy at 0 K   1.5 eV per formula unit
# DFT total energy   -0.2135 hartree per atom

=====

(5)
# PBE-GGA Si3RuO, relaxed
data_Si3RuO
_chemical_formula_sum 'Si3 Ru1 O1'
_space_group_name_H-M_alt 'P m -3 m'
_space_group_IT_number 221
_space_group_name_Hall '-P 4 2 3'
_cell_length_a 4.5041
_cell_length_b 4.5041
_cell_length_c 4.5041
_cell_angle_alpha 90.00
_cell_angle_beta 90.00
_cell_angle_gamma 90.00
loop_
_atom_site_label
_atom_site_type_symbol
_atom_site_fract_x
_atom_site_fract_y
_atom_site_fract_z
_atom_site_occupancy
Si1 Si 0.0000 0.0000 0.5000 1
Ru1 Ru 0.0000 0.0000 0.0000 1
O1 O 0.5000 0.5000 0.5000 1
# Volume   18.27 A^3/atom
# Theoretical density   3.66 g/cm3
# Crystal system   cubic
# DFT total energy   -0.2122 hartree per atom

=====

(6)
# PBE-GGA Ho6AgRu, relaxed
data_Ho6AgRu
_chemical_formula_sum 'Ho12 Ag2 Ru2'
_space_group_name_H-M_alt 'C 1 2/m 1'
_space_group_IT_number 12
_space_group_name_Hall '-C 2y'
_cell_length_a 6.8819
_cell_length_b 11.0635
_cell_length_c 6.6664
_cell_angle_alpha 90.00
_cell_angle_beta 110.24
_cell_angle_gamma 90.00
loop_
_atom_site_label
_atom_site_type_symbol
_atom_site_fract_x
_atom_site_fract_y
_atom_site_fract_z
_atom_site_occupancy
Ho1 Ho 0.2227 0.1834 0.2404 1
Ho2 Ho 0.2412 0.0000 0.7643 1
Ag1 Ag 0.0000 0.5000 0.5000 1
Ru1 Ru 0.0000 0.0000 0.0000 1
# Volume   29.76 A^3/atom
# Theoretical density   8.36 g/cm3
# Crystal system   monoclinic
# Formation enthalpy at 0 K   -0.4 eV per formula unit
# DFT total energy   -0.1835 hartree per atom

=====

(7)
# PBE-GGA Ga2HgBiIr, relaxed
data_Ga2HgBiIr
_chemical_formula_sum 'Ga2 Hg1 Bi1 Ir1'
_space_group_name_H-M_alt 'P 4/m m m'
_space_group_IT_number 123
_space_group_name_Hall '-P 4 2'
_cell_length_a 4.8001
_cell_length_b 4.8001
_cell_length_c 5.6412
_cell_angle_alpha 90.00
_cell_angle_beta 90.00
_cell_angle_gamma 90.00
loop_
_atom_site_label
_atom_site_type_symbol
_atom_site_fract_x
_atom_site_fract_y
_atom_site_fract_z
_atom_site_occupancy
Ga1 Ga 0.0000 0.5000 0.0000 1
Hg1 Hg 0.0000 0.0000 0.5000 1
Bi1 Bi 0.5000 0.5000 0.5000 1
Ir1 Ir 0.5000 0.5000 0.0000 1
# Volume   26.00 A^3/atom
# Theoretical density   9.47 g/cm3
# Crystal system   tetragonal
# Formation enthalpy at 0 K   -0.1 eV per formula unit
# DFT total energy   -0.1413 hartree per atom

=====

(8)
# PBE-GGA Nd6GaOs2, relaxed
data_Nd6GaOs2
_chemical_formula_sum 'Nd24 Ga4 Os8'
_space_group_name_H-M_alt 'I m m m'
_space_group_IT_number 71
_space_group_name_Hall '-I 2 2'
_cell_length_a 9.7269
_cell_length_b 9.8380
_cell_length_c 10.5619
_cell_angle_alpha 90.00
_cell_angle_beta 90.00
_cell_angle_gamma 90.00
loop_
_atom_site_label
_atom_site_type_symbol
_atom_site_fract_x
_atom_site_fract_y
_atom_site_fract_z
_atom_site_occupancy
Nd1 Nd 0.0000 0.1986 0.2435 1
Nd2 Nd 0.1870 0.5000 0.1701 1
Nd3 Nd 0.2259 0.3190 0.5000 1
Ga1 Ga 0.0000 0.0000 0.0000 1
Ga2 Ga 0.0000 0.0000 0.5000 1
Os1 Os 0.0000 0.3249 0.0000 1
Os2 Os 0.0000 0.5000 0.3827 1
# Volume   28.08 A^3/atom
# Theoretical density   8.65 g/cm3
# Crystal system   orthorhombic
# Formation enthalpy at 0 K   -1.7 eV per formula unit
# DFT total energy   -0.2280 hartree per atom

=====

Question: Among the records above, which one has the highest volume?
Answer: La2PrNb

=====

Question: The highest volume belongs to which entry?
Answer: La2PrNb

=====

Copy entry 1 word for word.
# PBE-GGA PrHoPu2Se4, relaxed
data_PrHoPu2Se4
_chemical_formula_sum 'Pr1 Ho1 Pu2 Se4'
_space_group_name_H-M_alt 'P 1 2/m 1'
_space_group_IT_number 10
_space_group_name_Hall '-P 2y'
_cell_length_a 7.1855
_cell_length_b 4.1382
_cell_length_c 7.2235
_cell_angle_alpha 90.00
_cell_angle_beta 109.27
_cell_angle_gamma 90.00
loop_
_atom_site_label
_atom_site_type_symbol
_atom_site_fract_x
_atom_site_fract_y
_atom_site_fract_z
_atom_site_occupancy
Pr1 Pr 0.0000 0.0000 0.0000 1
Ho1 Ho 0.5000 0.5000 0.0000 1
Pu1 Pu 0.0000 0.5000 0.5000 1
Pu2 Pu 0.5000 0.0000 0.5000 1
Se1 Se 0.2586 0.0000 0.7518 1
Se2 Se 0.2596 0.5000 0.2547 1
# Volume   25.35 A^3/atom
# Theoretical density   9.09 g/cm3
# Crystal system   monoclinic
# DFT total energy   -0.3001 hartree per atom